[1]
This record from Alexandria via LeMat-Bulk describes crystalline Cr2PbCl at its relaxed geometry. The functional is PBE.

Cell lengths 3.4136, 4.2978, 6.0613 Å; angles 90.00, 90.00, 90.00 degrees
Fractional coordinates of all 4 atoms:
Cr1 0.0000 0.0000 0.0000
Cr2 0.5000 0.0000 0.5000
Pb1 0.0000 0.5000 0.5000
Cl1 0.5000 0.5000 0.0000

Calculated values
**Energy relative to the elements, uncorrected**: 0.54 eV per atom
**Space-group type**: Pmmm (47)
**Energy above the lowest structure with this stoichiometry**: 0.470 eV per atom
**Fermi-level density of states**: 2.208 states/eV/cell



[2]
This record from Alexandria via LeMat-Bulk describes crystalline ZrNi at its relaxed geometry. The functional is PBE.

Cell lengths 6.0443, 6.0443, 6.0443 Å; angles 145.26, 67.66, 123.94 degrees
Fractional coordinates of all 6 atoms:
Zr1 0.0000 0.0000 0.0000
Zr2 0.4962 0.1847 0.3115
Zr3 0.8732 0.1847 0.6885
Ni1 0.1196 0.7426 0.3769
Ni2 0.3657 0.7426 0.6231
Ni3 0.5024 0.5024 0.0000

Calculated values
**Space-group type**: Imm2 (44)
**Fermi-level density of states**: 7.094 states/eV/cell
**DFT formation energy**: -0.28 eV per atom



[3]
This record from Alexandria via LeMat-Bulk describes crystalline TcAg2Sb at its relaxed geometry. The functional is PBE.

Cell lengths 3.9683, 3.9683, 4.5578 Å; angles 90.00, 90.00, 90.00 degrees
Fractional coordinates of all 4 atoms:
Tc1 0.0000 0.0000 0.0000
Ag1 0.0000 0.5000 0.5000
Ag2 0.5000 0.0000 0.5000
Sb1 0.5000 0.5000 0.0000

Calculated values
**Energy relative to the elements, uncorrected**: 0.38 eV per atom
**Space-group type**: P4/mmm (123)
**Fermi-level density of states**: 3.334 states/eV/cell



[4]
This record from Alexandria via LeMat-Bulk describes crystalline Ba7Pd4Pt at its relaxed geometry. The functional is PBE.

Cell lengths 7.8716, 7.8716, 13.7724 Å; angles 104.82, 104.82, 33.47 degrees
Fractional coordinates of all 12 atoms:
Ba1 0.0000 0.0000 0.0000
Ba2 0.2215 0.2215 0.8551
Ba3 0.2946 0.2946 0.4227
Ba4 0.5215 0.5215 0.2809
Ba5 0.6021 0.6021 0.5887
Ba6 0.7568 0.7568 0.1409
Ba7 0.9144 0.9144 0.6909
Pd1 0.2582 0.2582 0.6395
Pd2 0.3747 0.3747 0.0648
Pd3 0.5636 0.5636 0.8297
Pd4 0.9539 0.9539 0.4522
Pt1 0.1423 0.1423 0.2144

Calculated values
**Space-group type**: Cm (8)
**Fermi-level density of states**: 6.405 states/eV/cell
**DFT formation energy**: -0.50 eV per atom



[5]
This record from Alexandria via LeMat-Bulk describes crystalline RbTiHg3 at its relaxed geometry. The functional is PBE.

Cell lengths 5.5485, 5.5485, 5.5485 Å; angles 90.00, 90.00, 90.00 degrees
Fractional coordinates of all 5 atoms:
Rb1 0.0000 0.0000 0.0000
Ti1 0.5000 0.5000 0.5000
Hg1 0.0000 0.5000 0.5000
Hg2 0.5000 0.0000 0.5000
Hg3 0.5000 0.5000 0.0000

Calculated values
**Space-group type**: Pm-3m (221)
**Energy above the lowest structure with this stoichiometry**: 0.000 eV per atom
**Fermi-level density of states**: 6.263 states/eV/cell
**DFT formation energy**: 0.12 eV per atom



[6]
This record from Alexandria via LeMat-Bulk describes crystalline BaCaSnN2 at its relaxed geometry. The functional is PBE.

Cell lengths 4.7386, 4.7386, 6.3768 Å; angles 90.00, 90.00, 90.00 degrees
Fractional coordinates of all 5 atoms:
Ba1 0.0000 0.0000 0.0000
Ca1 0.5000 0.5000 0.5000
Sn1 0.0000 0.0000 0.5000
N1 0.0000 0.5000 0.0000
N2 0.5000 0.0000 0.0000

Calculated values
**Energy relative to the elements, uncorrected**: 1.33 eV per atom
**Space-group type**: P4/mmm (123)
**Fermi-level density of states**: 6.762 states/eV/cell



[7]
This record from Alexandria via LeMat-Bulk describes crystalline LiCu2Hg at its relaxed geometry. The functional is PBE.

Cell lengths 9.7866, 9.7866, 9.7866 Å; angles 158.41, 158.41, 30.72 degrees
Fractional coordinates of all 8 atoms:
Li1 0.0000 0.0000 0.0000
Li2 0.7500 0.2500 0.5000
Cu1 0.1243 0.6250 0.9993
Cu2 0.3750 0.3743 0.4993
Cu3 0.6257 0.1250 0.0007
Cu4 0.8750 0.8757 0.5007
Hg1 0.2500 0.7500 0.5000
Hg2 0.5000 0.5000 0.0000

Calculated values
**Space-group type**: I-42d (122)
**Fermi-level density of states**: 2.015 states/eV/cell
**DFT formation energy**: 0.12 eV per atom



[8]
This record from Alexandria via LeMat-Bulk describes crystalline Pr2Er5Ni2 at its relaxed geometry. The functional is PBE.

Cell lengths 10.6669, 10.6669, 6.9561 Å; angles 90.00, 90.00, 38.21 degrees
Fractional coordinates of all 18 atoms:
Pr1 0.2302 0.2302 0.0000
Pr2 0.2698 0.2698 0.5000
Pr3 0.7302 0.7302 0.5000
Pr4 0.7698 0.7698 0.0000
Er1 0.0000 0.0000 0.0000
Er2 0.0714 0.7183 0.6730
Er3 0.2183 0.5714 0.1730
Er4 0.2817 0.9286 0.6730
Er5 0.4286 0.7817 0.1730
Er6 0.5000 0.5000 0.5000
Er7 0.5714 0.2183 0.8270
Er8 0.7183 0.0714 0.3270
Er9 0.7817 0.4286 0.8270
Er10 0.9286 0.2817 0.3270
Ni1 0.1222 0.8778 0.3784
Ni2 0.3778 0.6222 0.8784
Ni3 0.6222 0.3778 0.1216
Ni4 0.8778 0.1222 0.6216

Calculated values
**Space-group type**: Cmce (64)
**Fermi-level density of states**: 23.367 states/eV/cell
**DFT formation energy**: -0.17 eV per atom